Density functional theory data (PBE+U) for a relaxed NiC3O crystal.

**Space-group type**: No. 221
**Uncorrected energy**: -18.54 eV/cell
**Density of states at the Fermi level**: 3.4 states/eV/cell

Cell lengths 3.4922, 3.4922, 3.4922 Å; angles 90.00, 90.00, 90.00 degrees
Closest atoms and distances in Å follow each position.
Element x y z (fractional)
O 0.0000 0.0000 0.0000  6 C 1.75
C 0.0000 0.5000 0.0000  2 O 1.75
C 0.0000 0.0000 0.5000  2 O 1.75
C 0.5000 0.0000 0.0000  2 O 1.75
Ni 0.5000 0.5000 0.5000  12 C 2.47